Version one
# Cd2Rh2Au | Alexandria via LeMat-Bulk | GGA-PBE | optimized geometry
data_Cd2Rh2Au
_chemical_formula_sum 'Cd4 Rh4 Au2'
_symmetry_space_group_name_H-M 'P 4/m b m'
_symmetry_Int_Tables_number 127
_symmetry_space_group_name_Hall '-P 4 2ab'
_cell_length_a 7.523
_cell_length_b 7.523
_cell_length_c 3.188
_cell_angle_alpha 90.00
_cell_angle_beta 90.00
_cell_angle_gamma 90.00
loop_
_atom_site_label
_atom_site_type_symbol
_atom_site_fract_x
_atom_site_fract_y
_atom_site_fract_z
Cd1 Cd 0.144 0.356 0.000
Rh1 Rh 0.152 0.652 0.500
Au1 Au 0.000 0.000 0.000
# N(E_F): 5.87 states/eV per cell
# volume: 18.04 Å³ per atom

=====

Version two
# Cd2Rh2Au | Alexandria via LeMat-Bulk | GGA-PBE | optimized geometry
data_Cd2Rh2Au
_chemical_formula_sum 'Cd4 Rh4 Au2'
_symmetry_space_group_name_H-M 'P 4/m b m'
_symmetry_Int_Tables_number 127
_symmetry_space_group_name_Hall '-P 4 2ab'
_cell_length_a 6.844
_cell_length_b 6.844
_cell_length_c 3.956
_cell_angle_alpha 90.00
_cell_angle_beta 90.00
_cell_angle_gamma 90.00
loop_
_atom_site_label
_atom_site_type_symbol
_atom_site_fract_x
_atom_site_fract_y
_atom_site_fract_z
Cd1 Cd 0.169 0.331 0.000
Rh1 Rh 0.131 0.631 0.500
Au1 Au 0.000 0.000 0.500
# N(E_F): 12.69 states/eV per cell
# volume: 18.53 Å³ per atom

=====

Bottom line: version two, by a margin of 153 meV per atom.

=====

Version one
# Cd3AuS | Alexandria via LeMat-Bulk | GGA-PBE | optimized geometry
data_Cd3AuS
_chemical_formula_sum 'Cd3 Au1 S1'
_symmetry_space_group_name_H-M 'P m -3 m'
_symmetry_Int_Tables_number 221
_symmetry_space_group_name_Hall '-P 4 2 3'
_cell_length_a 5.241
_cell_length_b 5.241
_cell_length_c 5.241
_cell_angle_alpha 90.00
_cell_angle_beta 90.00
_cell_angle_gamma 90.00
loop_
_atom_site_label
_atom_site_type_symbol
_atom_site_fract_x
_atom_site_fract_y
_atom_site_fract_z
Cd1 Cd 0.000 0.000 0.500
Au1 Au 0.000 0.000 0.000
S1 S 0.500 0.500 0.500
# N(E_F): 3.05 states/eV per cell
# volume: 28.79 Å³ per atom

=====

Version two
# Cd3AuS | Alexandria via LeMat-Bulk | GGA-PBE | optimized geometry
data_Cd3AuS
_chemical_formula_sum 'Cd3 Au1 S1'
_symmetry_space_group_name_H-M 'P m -3 m'
_symmetry_Int_Tables_number 221
_symmetry_space_group_name_Hall '-P 4 2 3'
_cell_length_a 5.124
_cell_length_b 5.124
_cell_length_c 5.124
_cell_angle_alpha 90.00
_cell_angle_beta 90.00
_cell_angle_gamma 90.00
loop_
_atom_site_label
_atom_site_type_symbol
_atom_site_fract_x
_atom_site_fract_y
_atom_site_fract_z
Cd1 Cd 0.000 0.000 0.500
Au1 Au 0.500 0.500 0.500
S1 S 0.000 0.000 0.000
# N(E_F): 2.13 states/eV per cell
# volume: 26.91 Å³ per atom

=====

Bottom line: version one, by a margin of 72 meV per atom.

=====

Version one
# Cd2Au2S | Alexandria via LeMat-Bulk | GGA-PBE | optimized geometry
data_Cd2Au2S
_chemical_formula_sum 'Cd4 Au4 S2'
_symmetry_space_group_name_H-M 'P 4/m b m'
_symmetry_Int_Tables_number 127
_symmetry_space_group_name_Hall '-P 4 2ab'
_cell_length_a 7.298
_cell_length_b 7.298
_cell_length_c 3.973
_cell_angle_alpha 90.00
_cell_angle_beta 90.00
_cell_angle_gamma 90.00
loop_
_atom_site_label
_atom_site_type_symbol
_atom_site_fract_x
_atom_site_fract_y
_atom_site_fract_z
Cd1 Cd 0.166 0.334 0.000
Au1 Au 0.134 0.634 0.500
S1 S 0.000 0.000 0.000
# N(E_F): 3.12 states/eV per cell
# volume: 21.16 Å³ per atom

=====

Version two
# Cd2Au2S | Alexandria via LeMat-Bulk | GGA-PBE | optimized geometry
data_Cd2Au2S
_chemical_formula_sum 'Cd4 Au4 S2'
_symmetry_space_group_name_H-M 'P 4/m b m'
_symmetry_Int_Tables_number 127
_symmetry_space_group_name_Hall '-P 4 2ab'
_cell_length_a 7.141
_cell_length_b 7.141
_cell_length_c 4.028
_cell_angle_alpha 90.00
_cell_angle_beta 90.00
_cell_angle_gamma 90.00
loop_
_atom_site_label
_atom_site_type_symbol
_atom_site_fract_x
_atom_site_fract_y
_atom_site_fract_z
Cd1 Cd 0.158 0.342 0.000
Au1 Au 0.143 0.643 0.500
S1 S 0.000 0.000 0.500
# N(E_F): 2.88 states/eV per cell
# volume: 20.54 Å³ per atom

=====

Bottom line: version two, by a margin of 44 meV per atom.

=====

Version one
# CdSbAu2 | Alexandria via LeMat-Bulk | GGA-PBE | optimized geometry
data_CdSbAu2
_chemical_formula_sum 'Cd2 Sb2 Au4'
_symmetry_space_group_name_H-M 'I m m 2'
_symmetry_Int_Tables_number 44
_cell_length_a 3.163
_cell_length_b 4.503
_cell_length_c 12.680
_cell_angle_alpha 90.00
_cell_angle_beta 90.00
_cell_angle_gamma 90.00
loop_
_symmetry_equiv_pos_as_xyz
'x,y,z'
'-x,-y,z'
'-x,y,z'
'x,-y,z'
'x+1/2,y+1/2,z+1/2'
'-x+1/2,-y+1/2,z+1/2'
'-x+1/2,y+1/2,z+1/2'
'x+1/2,-y+1/2,z+1/2'
loop_
_atom_site_label
_atom_site_type_symbol
_atom_site_fract_x
_atom_site_fract_y
_atom_site_fract_z
Cd1 Cd 0.000 0.000 0.000
Sb1 Sb 0.000 0.500 0.752
Au1 Au 0.000 0.000 0.446
Au2 Au 0.000 0.500 0.156
# N(E_F): 2.52 states/eV per cell
# volume: 22.58 Å³ per atom

=====

Version two
# CdSbAu2 | Alexandria via LeMat-Bulk | GGA-PBE | optimized geometry
data_CdSbAu2
_chemical_formula_sum 'Cd1 Sb1 Au2'
_symmetry_space_group_name_H-M 'P 1 m 1'
_symmetry_Int_Tables_number 6
_cell_length_a 3.751
_cell_length_b 4.300
_cell_length_c 5.700
_cell_angle_alpha 90.00
_cell_angle_beta 108.38
_cell_angle_gamma 90.00
loop_
_symmetry_equiv_pos_as_xyz
'x,y,z'
'x,-y,z'
loop_
_atom_site_label
_atom_site_type_symbol
_atom_site_fract_x
_atom_site_fract_y
_atom_site_fract_z
Cd1 Cd 0.000 0.000 0.000
Sb1 Sb 0.700 0.500 0.419
Au1 Au 0.252 0.000 0.534
Au2 Au 0.454 0.500 0.899
# N(E_F): 0.91 states/eV per cell
# volume: 21.82 Å³ per atom

=====

Version three
# CdSbAu2 | Alexandria via LeMat-Bulk | GGA-PBE | optimized geometry
data_CdSbAu2
_chemical_formula_sum 'Cd4 Sb4 Au8'
_symmetry_space_group_name_H-M 'F -4 3 m'
_symmetry_Int_Tables_number 216
_symmetry_space_group_name_Hall 'F -4 2 3'
_cell_length_a 6.992
_cell_length_b 6.992
_cell_length_c 6.992
_cell_angle_alpha 90.00
_cell_angle_beta 90.00
_cell_angle_gamma 90.00
loop_
_atom_site_label
_atom_site_type_symbol
_atom_site_fract_x
_atom_site_fract_y
_atom_site_fract_z
Cd1 Cd 0.000 0.000 0.000
Sb1 Sb 0.250 0.250 0.750
Au1 Au 0.000 0.000 0.500
Au2 Au 0.250 0.250 0.250
# N(E_F): 7.61 states/eV per cell
# volume: 21.37 Å³ per atom

=====

Version four
# CdSbAu2 | Alexandria via LeMat-Bulk | GGA-PBE | optimized geometry
data_CdSbAu2
_chemical_formula_sum 'Cd2 Sb2 Au4'
_symmetry_space_group_name_H-M 'C 1 2/m 1'
_symmetry_Int_Tables_number 12
_cell_length_a 8.429
_cell_length_b 3.484
_cell_length_c 6.220
_cell_angle_alpha 90.00
_cell_angle_beta 103.74
_cell_angle_gamma 90.00
loop_
_symmetry_equiv_pos_as_xyz
'x,y,z'
'-x,-y,-z'
'-x,y,-z'
'x,-y,z'
'x+1/2,y+1/2,z'
'-x+1/2,-y+1/2,-z'
'-x+1/2,y+1/2,-z'
'x+1/2,-y+1/2,z'
loop_
_atom_site_label
_atom_site_type_symbol
_atom_site_fract_x
_atom_site_fract_y
_atom_site_fract_z
Cd1 Cd 0.000 0.000 0.000
Sb1 Sb 0.000 0.500 0.500
Au1 Au 0.248 0.500 0.244
# N(E_F): 2.86 states/eV per cell
# volume: 22.18 Å³ per atom

=====

Bottom line: version two, by a margin of 57 meV per atom.

=====

Version one
# CdSbAu2 | Alexandria via LeMat-Bulk | GGA-PBE | optimized geometry
data_CdSbAu2
_chemical_formula_sum 'Cd2 Sb2 Au4'
_symmetry_space_group_name_H-M 'I -4 m 2'
_symmetry_Int_Tables_number 119
_symmetry_space_group_name_Hall 'I -4 -2'
_cell_length_a 4.267
_cell_length_b 4.267
_cell_length_c 9.220
_cell_angle_alpha 90.00
_cell_angle_beta 90.00
_cell_angle_gamma 90.00
loop_
_atom_site_label
_atom_site_type_symbol
_atom_site_fract_x
_atom_site_fract_y
_atom_site_fract_z
Cd1 Cd 0.000 0.000 0.000
Sb1 Sb 0.000 0.500 0.750
Au1 Au 0.000 0.000 0.500
Au2 Au 0.000 0.500 0.250
# N(E_F): 2.65 states/eV per cell
# volume: 20.99 Å³ per atom

=====

Version two
# CdSbAu2 | Alexandria via LeMat-Bulk | GGA-PBE | optimized geometry
data_CdSbAu2
_chemical_formula_sum 'Cd1 Sb1 Au2'
_symmetry_space_group_name_H-M 'P 4 m m'
_symmetry_Int_Tables_number 99
_cell_length_a 3.201
_cell_length_b 3.201
_cell_length_c 8.408
_cell_angle_alpha 90.00
_cell_angle_beta 90.00
_cell_angle_gamma 90.00
loop_
_symmetry_equiv_pos_as_xyz
'x,y,z'
'-y,x,z'
'-x,-y,z'
'y,-x,z'
'-x,y,z'
'y,x,z'
'x,-y,z'
'-y,-x,z'
loop_
_atom_site_label
_atom_site_type_symbol
_atom_site_fract_x
_atom_site_fract_y
_atom_site_fract_z
Cd1 Cd 0.000 0.000 0.000
Sb1 Sb 0.500 0.500 0.310
Au1 Au 0.000 0.000 0.554
Au2 Au 0.500 0.500 0.781
# N(E_F): 1.88 states/eV per cell
# volume: 21.54 Å³ per atom

=====

Bottom line: version one, by a margin of 40 meV per atom.